DFT (GGA-PBE) results for a relaxed Ca4Tl3Ag crystal.

Cell lengths 3.774, 5.497, 10.971 Å; angles 90.00, 90.00, 90.00 degrees
Sites, in units of the cell vectors:
Ca  0.000  0.000  0.000
Ca  0.000  0.000  0.500
Ca  0.000  0.500  0.241
Ca  0.000  0.500  0.759
Tl  0.500  0.000  0.251
Tl  0.500  0.000  0.749
Tl  0.500  0.500  0.500
Ag  0.500  0.500  0.000

Values from the calculation:
* space-group type: Pmmm (47)
* distance to the lowest polymorph of the same formula: 0 meV/atom
* calculated formation energy: -0.41 eV/atom
* uncorrected energy: -2.650 eV per atom